The following is a DFT calculation (PBE-GGA) of a relaxed structure of Mg4SnHg2.

Geometry as extended XYZ:
```
7
Lattice="-3.510 3.510 3.409 3.510 -3.510 3.409 3.510 3.510 -3.409" Properties=species:S:1:pos:R:3 pbc="T T T"
Mg 1.755 1.755 -1.704
Mg 1.755 -1.755 1.704
Mg -1.755 1.755 1.704
Mg 1.755 1.755 1.704
Sn 0.000 0.000 0.000
Hg 3.510 0.000 0.000
Hg 0.000 3.510 0.000
```

Summary:
ΔH_f (0 K): -0.1474 eV/atom
E: -12.02 eV for the cell shown